Sr4SeBr5 | PBE-GGA | optimized geometry

Output
The calculation puts the calculated total energy at -3.8020 eV per atom.

a b c (Å): 4.502 8.677 9.976
angles (deg): 105.71 103.04 90.00
Atoms (fractional coordinates):
Sr 0.999 0.755 0.998
Sr 0.334 0.889 0.668
Sr 0.001 0.245 0.002
Sr 0.666 0.111 0.332
Se 0.500 0.000 0.000
Br 0.166 0.349 0.332
Br 0.500 0.500 0.000
Br 0.834 0.651 0.668
Br 0.168 0.858 0.336
Br 0.832 0.142 0.664